(1)
The following is a DFT calculation (PBE) of a relaxed structure of MnSe3.

Cell: 3.558 3.673 7.952 Å, 90.00 90.00 90.00°
Positions (direct):
Mn: 0.000 0.000 0.000
Se: 0.000 0.500 0.410
Se: 0.500 0.000 0.328
Se: 0.500 0.500 0.919

The calculation puts the total energy at -19.6 eV per formula unit. The value obtained for the size of the total moment is 4.586 μB per cell. The calculation puts the formation energy without anion corrections at 17 meV/atom. Its space-group type is No. 25.

---

(2)
The following is a DFT calculation (PBE) of a relaxed structure of CrAg2P.

Cell: 3.302 3.862 5.310 Å, 90.00 90.00 90.00°
Positions (direct):
Cr: 0.000 0.000 0.000
Ag: 0.500 0.500 0.250
Ag: 0.500 0.500 0.750
P: 0.000 0.000 0.500

The calculation puts the total energy at -19.2 eV per formula unit. The value obtained for the size of the total moment is 3.579 μB per cell. Its space-group type is No. 47.

---

(3)
The following is a DFT calculation (PBE) of a relaxed structure of CsS2O6.

Cell: 7.054 7.054 7.054 Å, 56.19 56.19 56.19°
Positions (direct):
Cs: 0.000 0.000 0.000
S: 0.626 0.626 0.626
S: 0.768 0.768 0.768
O: 0.488 0.488 0.864
O: 0.488 0.864 0.488
O: 0.532 0.907 0.907
O: 0.864 0.488 0.488
O: 0.907 0.532 0.907
O: 0.907 0.907 0.532

The calculation puts the total energy at -50.5 eV per formula unit. As for the energy above the most stable polymorph in this dataset: 0.0 meV per atom. The value obtained for the size of the total moment is 1.004 μB per cell. The calculation puts the formation energy without anion corrections at -1297 meV/atom. Its space-group type is No. 160.

---

(4)
The following is a DFT calculation (PBE) of a relaxed structure of Er3HfAs4.

Cell: 6.940 6.940 4.003 Å, 90.00 90.00 109.28°
Positions (direct):
Er: 0.000 0.000 0.000
Er: 0.000 0.500 0.500
Er: 0.500 0.000 0.500
Hf: 0.500 0.500 0.000
As: 0.256 0.744 0.000
As: 0.261 0.261 0.500
As: 0.739 0.739 0.500
As: 0.744 0.256 0.000

The calculation puts the total energy at -53.4 eV per formula unit. The value obtained for the size of the total moment is 0.000 μB per cell. Its space-group type is No. 65.